Material: Cr2Ag2O7
Method: DFT, meta-GGA SCAN
State: single point on PBEsol structure

Unit cell a=6.4450 b=6.7739 c=7.0252 alpha=92.05 beta=112.08 gamma=93.83
Fractional positions:
Cr 0.2002 0.3429 0.3168
Cr 0.2452 0.8415 0.0212
Cr 0.7548 0.1585 0.9788
Cr 0.7998 0.6571 0.6832
Ag 0.2460 0.3524 0.8192
Ag 0.2668 0.8722 0.5465
Ag 0.7332 0.1278 0.4535
Ag 0.7540 0.6476 0.1808
O 0.0408 0.2427 0.0635
O 0.1081 0.5608 0.3334
O 0.1539 0.2031 0.4874
O 0.2712 0.9999 0.8585
O 0.3329 0.9350 0.2572
O 0.3762 0.6451 0.0072
O 0.4600 0.3573 0.3415
O 0.5400 0.6427 0.6585
O 0.6238 0.3549 0.9928
O 0.6671 0.0650 0.7428
O 0.7288 0.0001 0.1415
O 0.8461 0.7969 0.5126
O 0.8919 0.4392 0.6666
O 0.9592 0.7573 0.9365

Results
Raw total energy: -317.2 eV/cell
Calculated density: 5.07 Mg/m³
Raw formation energy: -1.41 eV/atom